No. 1
DFT (GGA-PBE) results for an optimized crystal structure of KW3Se6.

The structure in POSCAR format:
```
KW3Se6
1.0
-3.291 -0.788 0.142
3.021 -12.365 1.368
0.108 2.001 13.633
Se K W
12 2 6
direct
0.250 0.586 0.102 Se
0.250 0.747 0.337 Se
0.750 0.615 0.515 Se
0.250 0.385 0.485 Se
0.250 0.900 0.894 Se
0.250 0.551 0.721 Se
0.250 0.171 0.863 Se
0.750 0.414 0.898 Se
0.750 0.253 0.663 Se
0.750 0.449 0.279 Se
0.750 0.829 0.137 Se
0.750 0.100 0.106 Se
0.750 0.670 0.921 K
0.250 0.330 0.079 K
0.250 0.555 0.379 W
0.750 0.640 0.237 W
0.250 0.360 0.763 W
0.250 0.954 0.071 W
0.750 0.445 0.621 W
0.750 0.046 0.929 W
```

The density of states at the Fermi level is 2.37 states/eV/f.u.

***

No. 2
DFT (GGA-PBE) results for an optimized crystal structure of SrCrAs2Se.

The structure in POSCAR format:
```
SrCrAs2Se
1.0
5.543 0.000 0.000
0.000 5.543 0.000
0.000 0.000 5.533
As Se Cr Sr
2 1 1 1
direct
0.000 0.500 0.000 As
0.500 0.000 0.000 As
0.000 0.000 0.500 Se
0.500 0.500 0.500 Cr
0.000 0.000 0.000 Sr
```

The density of states at the Fermi level is 9.04 states/eV/f.u.

***

No. 3
DFT (GGA-PBE) results for an optimized crystal structure of Cs2RuN.

The structure in POSCAR format:
```
Cs2RuN
1.0
0.000 3.745 3.745
3.745 0.000 3.745
3.745 3.745 0.000
Cs Ru N
2 1 1
direct
0.250 0.250 0.250 Cs
0.750 0.750 0.750 Cs
0.500 0.500 0.500 Ru
0.000 0.000 0.000 N
```

The density of states at the Fermi level is 6.66 states/eV/f.u.

***

No. 4
DFT (GGA-PBE) results for an optimized crystal structure of CrReH.

The structure in POSCAR format:
```
CrReH
1.0
-3.724 3.961 -0.769
-3.000 -3.065 -1.257
0.415 -2.449 4.981
Cr Re H
4 4 4
direct
0.323 0.750 0.647 Cr
0.177 0.250 0.353 Cr
0.677 0.250 0.353 Cr
0.823 0.750 0.647 Cr
0.654 0.276 0.809 Re
0.846 0.776 0.191 Re
0.346 0.724 0.191 Re
0.154 0.224 0.809 Re
0.161 0.624 0.822 H
0.339 0.124 0.178 H
0.661 0.876 0.822 H
0.839 0.376 0.178 H
```

The density of states at the Fermi level is 2.81 states/eV/f.u.

***

No. 5
DFT (GGA-PBE) results for an optimized crystal structure of Dy2VSe.

The structure in POSCAR format:
```
Dy2VSe
1.0
3.617 0.000 0.000
1.809 3.133 0.000
1.809 1.044 9.420
Se Dy V
1 2 1
direct
0.500 0.500 0.500 Se
0.900 0.900 0.300 Dy
0.100 0.100 0.700 Dy
0.000 0.000 0.000 V
```

The density of states at the Fermi level is 3.17 states/eV/f.u.

***

No. 6
DFT (GGA-PBE) results for an optimized crystal structure of NbS2ICl.

The structure in POSCAR format:
```
NbS2ICl
1.0
4.881 0.000 0.000
0.000 4.881 0.000
0.000 0.000 4.948
Nb Cl S I
1 1 2 1
direct
0.000 0.000 0.000 Nb
0.000 0.000 0.500 Cl
0.500 0.000 0.000 S
0.000 0.500 0.000 S
0.500 0.500 0.500 I
```

The density of states at the Fermi level is 5.88 states/eV/f.u.

***

No. 7
DFT (GGA-PBE) results for an optimized crystal structure of Rb2LiU2O7.

The structure in POSCAR format:
```
Rb2LiU2O7
1.0
4.321 -0.003 0.011
0.003 4.321 0.011
2.132 2.129 11.404
O U Li Rb
7 2 1 2
direct
0.088 0.588 0.823 O
0.912 0.412 0.177 O
0.320 0.320 0.359 O
0.680 0.680 0.641 O
0.500 0.500 0.000 O
0.412 0.912 0.177 O
0.588 0.088 0.823 O
0.408 0.408 0.185 U
0.592 0.592 0.815 U
0.000 0.000 0.000 Li
0.191 0.191 0.618 Rb
0.809 0.809 0.382 Rb
```

The density of states at the Fermi level is 6.60 states/eV/f.u.

***

No. 8
DFT (GGA-PBE) results for an optimized crystal structure of CrNiIr.

The structure in POSCAR format:
```
CrNiIr
1.0
-2.032 2.829 2.868
-3.116 0.566 -2.766
-0.924 -4.413 0.138
Ir Ni Cr
2 2 2
direct
0.441 0.791 0.577 Ir
0.804 0.291 0.935 Ir
0.466 0.291 0.255 Ni
0.779 0.791 0.257 Ni
0.119 0.791 0.928 Cr
0.126 0.291 0.584 Cr
```

The value obtained for the energy of formation is -152 meV per atom. The density of states at the Fermi level is 2.65 states/eV/f.u.

***

Number 1: calculated density 5.919 g/cm³, raw total energy -6.565 eV per atom. Number 2: calculated density 3.598 g/cm³, raw total energy -3.238 eV per atom. Number 3: calculated density 6.023 g/cm³, raw total energy -2.874 eV per atom. Number 4: calculated density 13.376 g/cm³, raw total energy -8.262 eV per atom. Number 5: calculated density 7.076 g/cm³, raw total energy -5.504 eV per atom. Number 6: calculated density 4.498 g/cm³, raw total energy -4.611 eV per atom. Number 7: calculated density 5.980 g/cm³, raw total energy -7.761 eV per atom. Number 8: calculated density 13.587 g/cm³, raw total energy -8.241 eV per atom.